VASP calculation (PBE with a Hubbard U) on an optimized crystal structure of Cr3Cd3FeO8.

Lattice parameters (Å, degrees): 6.1315 6.1350 6.5364 118.08 90.00 119.98
Site moments in Bohr magnetons follow the coordinates.
Sites, in units of the cell vectors:
Cd (0.0000, 0.5000, 0.0000)  0.05
Cd (0.5000, 0.5000, 0.0000)  0.05
Cd (0.0000, 0.0000, 0.0000)  0.05
Cr (0.5000, 0.5000, 0.5000)  3.15
Cr (0.5000, 0.0000, 0.5000)  3.15
Cr (0.0000, 0.5000, 0.5000)  3.15
Fe (0.0000, 0.0000, 0.5000)  0.02
O (0.7668, 0.0335, 0.3010)  -0.02
O (0.2689, 0.5378, 0.3068)  -0.03
O (0.2341, 0.4681, 0.6992)  -0.02
O (0.7333, 0.9665, 0.6990)  -0.02
O (0.7311, 0.4622, 0.6932)  -0.03
O (0.2332, 0.9665, 0.6990)  -0.02
O (0.7659, 0.5319, 0.3008)  -0.02
O (0.2667, 0.0335, 0.3010)  -0.02

Symmetry ... No. 12
E_tot ... -5.95 eV/atom
Total moment ... 9.8 μB per cell